Below is a relaxed CePmHgSb crystal, with properties calculated at the PBE level.

Properties
The value obtained for the total moment is 1.7 μB/cell. The electronic total energy is -4.394 eV/atom. The calculated volume comes out at 28.11 A^3/atom.

```
4
Lattice="-1.280 -2.955 -4.356 1.218 -5.277 -0.147 -3.946 -3.700 0.301" Properties=species:S:1:pos:R:3 pbc="T T T"
Sb 0.000 0.000 0.000
Hg -2.004 -5.966 -2.101
Ce -3.006 -8.949 -3.152
Pm -1.002 -2.983 -1.051
```